1.
Material: Ac3Pr2Nd4
Method: DFT, PBE
State: relaxed

Summary:
ΔE to the lowest computed polymorph: 0.000 eV per atom
symmetry: No. 2
total energy: -40.70 eV/cell
density of states at the Fermi level: 1.708 states/eV per atom
theoretical density: 7.36 g/cm3
magnetization: 0.000 Bohr magnetons per cell

```
data_Ac3Pr2Nd4
_cell_length_a 5.387
_cell_length_b 8.431
_cell_length_c 8.500
_cell_angle_alpha 72.51
_cell_angle_beta 89.99
_cell_angle_gamma 71.46
_space_group_name_H-M_alt 'P 1'
_space_group_IT_number 1
loop_
_space_group_symop_operation_xyz
'x,y,z'
loop_
_atom_site_label
_atom_site_fract_x
_atom_site_fract_y
_atom_site_fract_z
Ac1 0.000 0.000 0.000
Ac2 0.443 0.114 0.666
Ac3 0.557 0.886 0.334
Pr1 0.224 0.551 0.331
Pr2 0.776 0.449 0.669
Nd1 0.115 0.770 0.667
Nd2 0.330 0.340 0.004
Nd3 0.670 0.660 0.996
Nd4 0.885 0.230 0.333
```

2.
Material: VRePd
Method: DFT, PBE
State: relaxed

Summary:
ΔE to the lowest computed polymorph: 0.074 eV per atom
symmetry: No. 107
total energy: -53.04 eV/cell
density of states at the Fermi level: 1.277 states/eV per atom
theoretical density: 12.77 g/cm3
magnetization: 0.000 Bohr magnetons per cell

```
data_VRePd
_cell_length_a 3.110
_cell_length_b 3.110
_cell_length_c 9.234
_cell_angle_alpha 90.00
_cell_angle_beta 90.00
_cell_angle_gamma 90.00
_space_group_name_H-M_alt 'P 1'
_space_group_IT_number 1
loop_
_space_group_symop_operation_xyz
'x,y,z'
loop_
_atom_site_label
_atom_site_fract_x
_atom_site_fract_y
_atom_site_fract_z
V1 0.000 0.000 0.000
V2 0.500 0.500 0.500
Re1 0.000 0.000 0.367
Re2 0.500 0.500 0.867
Pd1 0.000 0.000 0.675
Pd2 0.500 0.500 0.175
```

3.
Material: CePrOsI
Method: DFT, PBE
State: relaxed

Summary:
formation energy without anion corrections: -590 meV/atom
symmetry: No. 160
total energy: -77.56 eV/cell
density of states at the Fermi level: 0.953 states/eV per atom
theoretical density: 8.22 g/cm3
magnetization: 0.643 Bohr magnetons per cell

```
data_CePrOsI
_cell_length_a 4.140
_cell_length_b 4.140
_cell_length_c 24.433
_cell_angle_alpha 90.00
_cell_angle_beta 90.00
_cell_angle_gamma 120.00
_space_group_name_H-M_alt 'P 1'
_space_group_IT_number 1
loop_
_space_group_symop_operation_xyz
'x,y,z'
loop_
_atom_site_label
_atom_site_fract_x
_atom_site_fract_y
_atom_site_fract_z
Ce1 0.000 0.000 0.000
Ce2 0.333 0.667 0.667
Ce3 0.667 0.333 0.333
Pr1 0.000 0.000 0.211
Pr2 0.333 0.667 0.877
Pr3 0.667 0.333 0.544
Os1 0.000 0.000 0.614
Os2 0.333 0.667 0.281
Os3 0.667 0.333 0.948
I1 0.000 0.000 0.438
I2 0.333 0.667 0.105
I3 0.667 0.333 0.771
```

4.
Material: SrLaGa
Method: DFT, PBE
State: relaxed

Summary:
ΔE to the lowest computed polymorph: 0.132 eV per atom
symmetry: No. 8
total energy: -41.39 eV/cell
density of states at the Fermi level: 1.307 states/eV per atom
theoretical density: 4.70 g/cm3
magnetization: 2.335 Bohr magnetons per cell

```
data_SrLaGa
_cell_length_a 13.537
_cell_length_b 4.112
_cell_length_c 9.247
_cell_angle_alpha 90.00
_cell_angle_beta 125.58
_cell_angle_gamma 90.00
_space_group_name_H-M_alt 'P 1'
_space_group_IT_number 1
loop_
_space_group_symop_operation_xyz
'x,y,z'
loop_
_atom_site_label
_atom_site_fract_x
_atom_site_fract_y
_atom_site_fract_z
Sr1 0.000 0.000 0.000
Sr2 0.075 0.500 0.699
Sr3 0.500 0.500 0.000
Sr4 0.575 0.000 0.699
La1 0.247 0.500 0.442
La2 0.339 0.000 0.160
La3 0.747 0.000 0.442
La4 0.839 0.500 0.160
Ga1 0.046 0.000 0.399
Ga2 0.282 0.000 0.735
Ga3 0.546 0.500 0.399
Ga4 0.782 0.500 0.735
```

Repeat the fourth record exactly.
Material: SrLaGa
Method: DFT, PBE
State: relaxed

Summary:
ΔE to the lowest computed polymorph: 0.132 eV per atom
symmetry: No. 8
total energy: -41.39 eV/cell
density of states at the Fermi level: 1.307 states/eV per atom
theoretical density: 4.70 g/cm3
magnetization: 2.335 Bohr magnetons per cell

```
data_SrLaGa
_cell_length_a 13.537
_cell_length_b 4.112
_cell_length_c 9.247
_cell_angle_alpha 90.00
_cell_angle_beta 125.58
_cell_angle_gamma 90.00
_space_group_name_H-M_alt 'P 1'
_space_group_IT_number 1
loop_
_space_group_symop_operation_xyz
'x,y,z'
loop_
_atom_site_label
_atom_site_fract_x
_atom_site_fract_y
_atom_site_fract_z
Sr1 0.000 0.000 0.000
Sr2 0.075 0.500 0.699
Sr3 0.500 0.500 0.000
Sr4 0.575 0.000 0.699
La1 0.247 0.500 0.442
La2 0.339 0.000 0.160
La3 0.747 0.000 0.442
La4 0.839 0.500 0.160
Ga1 0.046 0.000 0.399
Ga2 0.282 0.000 0.735
Ga3 0.546 0.500 0.399
Ga4 0.782 0.500 0.735
```